(1)
## SmGaSn2 (PBE-GGA)

Data for a relaxed SmGaSn2 crystal.

The calculation puts the magnetic moment at 0.000 μB/cell. For the energy of formation, the calculation gives -0.3609 eV per atom. The density of states at the Fermi level comes out at 3.50 states/eV/cell. The value obtained for the offset from the most stable computed form is 143 meV/atom. The calculation puts the total energy at -4.30 eV per atom.

abc: 3.901 3.901 6.635
angles: 90.00 90.00 90.00
Space group P4/mmm (No. 123)
Inequivalent atoms, fractional coordinates:
Sm: 0.000 0.000 0.000 (multiplicity 1)
Ga: 0.000 0.000 0.500 (multiplicity 1)
Sn: 0.500 0.500 0.280 (multiplicity 2)

(2)
## LaRe2P (PBE-GGA)

Data for a relaxed LaRe2P crystal.

The calculation puts the magnetic moment at 0.000 μB/cell. For the energy of formation, the calculation gives 0.8977 eV per atom. The density of states at the Fermi level comes out at 10.81 states/eV/cell. The calculation puts the total energy at -7.91 eV per atom.

abc: 5.631 8.079 3.216
angles: 90.00 90.00 90.00
Space group Cmmm (No. 65)
Inequivalent atoms, fractional coordinates:
La: 0.000 0.000 0.000 (multiplicity 2)
Re: 0.250 0.250 0.500 (multiplicity 4)
P: 0.000 0.500 0.000 (multiplicity 2)

(3)
## Si2Pt (PBE-GGA)

Data for a relaxed Si2Pt crystal.

The calculation puts the magnetic moment at 0.000 μB/cell. The density of states at the Fermi level comes out at 3.73 states/eV/cell. The uncorrected formation energy comes out at -0.75 eV/f.u. The calculation puts the total energy at -5.88 eV per atom.

abc: 10.106 3.236 7.096
angles: 90.00 127.97 90.00
Space group C2/m (No. 12)
Inequivalent atoms, fractional coordinates:
Si: 0.090 0.000 0.348 (multiplicity 4)
Si: 0.125 0.500 0.995 (multiplicity 4)
Pt: 0.177 0.500 0.676 (multiplicity 4)

(4)
## Zr3AlV (PBE-GGA)

Data for a relaxed Zr3AlV crystal.

The calculation puts the magnetic moment at 3.430 μB/cell. For the energy of formation, the calculation gives 0.9454 eV per atom. The density of states at the Fermi level comes out at 9.91 states/eV/cell. The value obtained for the offset from the most stable computed form is 383 meV/atom. The calculation puts the total energy at -6.76 eV per atom.

abc: 5.011 5.011 5.011
angles: 90.00 90.00 90.00
Space group Pm-3m (No. 221)
Inequivalent atoms, fractional coordinates:
Zr: 0.000 0.000 0.500 (multiplicity 3)
Al: 0.000 0.000 0.000 (multiplicity 1)
V: 0.500 0.500 0.500 (multiplicity 1)